Here is crystalline Ac2HfCoO6 at its relaxed geometry from Alexandria. Energies are from PBE+U.

Cell lengths 5.8026, 5.8786, 8.2435 Å; angles 90.00, 89.91, 90.00 degrees
With the nearest neighbours (Å) after each atom.
Atoms (fractional coordinates):
O 0.5806 0.0229 0.2542  1 Hf 2.08, 1 Co 2.15
O 0.2150 0.2079 0.4587  1 Hf 2.09, 1 Co 2.15
O 0.4194 0.9771 0.7458  1 Hf 2.08, 1 Co 2.15
O 0.2070 0.2159 0.0447  1 Hf 2.09, 1 Co 2.15
O 0.9194 0.5229 0.2458  1 Hf 2.08, 1 Co 2.15
O 0.7150 0.2921 0.9587  1 Hf 2.09, 1 Co 2.15
O 0.7930 0.7841 0.9553  1 Hf 2.09, 1 Co 2.15
O 0.7070 0.2841 0.5447  1 Hf 2.09, 1 Co 2.15
O 0.2930 0.7159 0.4553  1 Hf 2.09, 1 Co 2.15
O 0.0806 0.4771 0.7542  1 Hf 2.08, 1 Co 2.15
O 0.2850 0.7079 0.0413  1 Hf 2.09, 1 Co 2.15
O 0.7850 0.7921 0.5413  1 Hf 2.09, 1 Co 2.15
Ac 0.5083 0.5391 0.7508  6 O 2.51-2.79
Ac 0.4917 0.4609 0.2492  6 O 2.51-2.79
Ac 0.0083 0.9609 0.2508  6 O 2.51-2.79
Ac 0.9917 0.0391 0.7492  6 O 2.51-2.79
Co 0.0000 0.5000 0.5000  6 O 2.15
Co 0.5000 0.0000 0.0000  6 O 2.15
Hf 0.5000 0.0000 0.5000  6 O 2.08-2.09
Hf 0.0000 0.5000 0.0000  6 O 2.08-2.09

Summary:
V: 14.1 Å³ per atom
Total moment: 6.0 Bohr magnetons per cell
Uncorrected energy: -8.305 eV/atom